1.
A geometry-optimized Zn3In structure, computed with PBEsol.

CIF file:
```
data_Zn3In
_space_group_name_H-M_alt 'P 1'
_space_group_IT_number 1
_cell_length_a 4.275
_cell_length_b 5.133
_cell_length_c 6.814
_cell_angle_alpha 112.13
_cell_angle_beta 90.00
_cell_angle_gamma 90.00
loop_
_space_group_symop_operation_xyz
'x,y,z'
loop_
_atom_site_label
_atom_site_fract_x
_atom_site_fract_y
_atom_site_fract_z
Zn1 0.750 0.121 0.241
Zn2 0.750 0.190 0.863
Zn3 0.250 0.879 0.759
Zn4 0.250 0.810 0.137
Zn5 0.250 0.327 0.137
Zn6 0.750 0.673 0.863
In1 0.750 0.707 0.414
In2 0.250 0.293 0.586
```

Calculated values
Space-group type: Cmcm, No. 63
Formation energy, eV per atom: 0.07
N(E_F), states/eV per atom: 0.243
Electronic total energy, eV per atom: -1.8615
Spin magnetization, μB per atom: 0.000

***

2.
A geometry-optimized NaP5 structure, computed with PBEsol.

CIF file:
```
data_NaP5
_space_group_name_H-M_alt 'P 1'
_space_group_IT_number 1
_cell_length_a 6.468
_cell_length_b 6.940
_cell_length_c 10.902
_cell_angle_alpha 90.00
_cell_angle_beta 90.00
_cell_angle_gamma 90.00
loop_
_space_group_symop_operation_xyz
'x,y,z'
loop_
_atom_site_label
_atom_site_fract_x
_atom_site_fract_y
_atom_site_fract_z
Na1 0.250 0.092 0.425
Na2 0.750 0.908 0.575
Na3 0.750 0.592 0.075
Na4 0.250 0.408 0.925
P1 0.012 0.097 0.081
P2 0.512 0.903 0.919
P3 0.988 0.597 0.419
P4 0.488 0.403 0.581
P5 0.988 0.903 0.919
P6 0.488 0.097 0.081
P7 0.012 0.403 0.581
P8 0.512 0.597 0.419
P9 0.250 0.634 0.138
P10 0.750 0.366 0.862
P11 0.750 0.134 0.362
P12 0.250 0.866 0.638
P13 0.250 0.478 0.310
P14 0.750 0.522 0.690
P15 0.750 0.978 0.190
P16 0.250 0.022 0.810
P17 0.250 0.563 0.688
P18 0.750 0.437 0.312
P19 0.750 0.063 0.812
P20 0.250 0.937 0.188
```

Calculated values
Space-group type: Pnma, No. 62
Formation energy, eV per atom: -0.16
Electronic total energy, eV per atom: -5.2196
Spin magnetization, μB per atom: 0.000

***

Look up the formation energy of the first one. 0.07 eV per atom

***

Look up the formation energy of the first one. 0.07 eV per atom